Below is an optimized crystal structure of CaNd2Sn, with properties calculated at the GGA-PBE level.

Unit cell a=4.912 b=5.013 c=5.013 alpha=90.00 beta=90.00 gamma=90.00
Element x y z (fractional)
Nd1 0.000 0.500 0.000
Sn1 0.500 0.000 0.000
Nd2 0.000 0.000 0.500
Ca1 0.500 0.500 0.500

Output
Space group = P4/mmm
Raw total energy = -17.2 eV/cell
Energy of formation from the pure elements = -403 meV/atom
DOS(E_F) = 0.8889 states/eV/atom

=====

Below is an optimized crystal structure of CaNd2Sn, with properties calculated at the GGA-PBE level.

Unit cell a=3.604 b=3.604 c=12.433 alpha=81.67 beta=81.67 gamma=60.00
Element x y z (fractional)
Nd1 0.904 0.904 0.287
Nd2 0.096 0.096 0.713
Sn1 0.500 0.500 0.500
Ca1 0.000 0.000 0.000

Output
Space group = R-3m
Raw total energy = -15.8 eV/cell
Energy of formation from the pure elements = -55 meV/atom
DOS(E_F) = 1.3292 states/eV/atom

=====

Below is an optimized crystal structure of CaNdTlSn, with properties calculated at the GGA-PBE level.

Unit cell a=4.434 b=5.078 c=5.174 alpha=90.00 beta=90.00 gamma=90.00
Element x y z (fractional)
Nd1 0.500 0.500 0.000
Ca1 0.500 0.000 0.500
Tl1 0.000 0.500 0.500
Sn1 0.000 0.000 0.000

Output
Space group = Pmmm
Raw total energy = -15.3 eV/cell
Energy of formation from the pure elements = -539 meV/atom
DOS(E_F) = 0.5555 states/eV/atom